(1)
This record from Alexandria via LeMat-Bulk describes crystalline AlFe2Te at its relaxed geometry. The functional is PBE.

Values from the calculation:
Total DFT energy (no corrections) in eV per atom: -5.77
Energy relative to the lowest polymorph listed for this composition in meV/atom: 59.9
Crystal system: cubic
Volume in Å³/atom: 13.60

CIF file:
```
data_AlFe2Te
_space_group_name_H-M_alt 'F m -3 m'
_space_group_IT_number 225
_space_group_name_Hall '-F 4 2 3'
_cell_length_a 6.0154
_cell_length_b 6.0154
_cell_length_c 6.0154
_cell_angle_alpha 90.00
_cell_angle_beta 90.00
_cell_angle_gamma 90.00
loop_
_atom_site_label
_atom_site_fract_x
_atom_site_fract_y
_atom_site_fract_z
Al1 0.0000 0.0000 0.0000
Fe1 0.2500 0.2500 0.2500
Te1 0.0000 0.0000 0.5000
```

***

(2)
This record from Alexandria via LeMat-Bulk describes crystalline BaIn2Tc at its relaxed geometry. The functional is PBE.

Values from the calculation:
Total DFT energy (no corrections) in eV per atom: -4.04
Energy relative to the lowest polymorph listed for this composition in meV/atom: 266.4
Formation energy in kJ per mole of atoms: 38.41
Crystal system: trigonal
Volume in Å³/atom: 25.25

CIF file:
```
data_BaIn2Tc
_space_group_name_H-M_alt 'R -3 m'
_space_group_IT_number 166
_space_group_name_Hall '-R 3 2"'
_cell_length_a 3.3669
_cell_length_b 3.3669
_cell_length_c 30.8687
_cell_angle_alpha 90.00
_cell_angle_beta 90.00
_cell_angle_gamma 120.00
loop_
_atom_site_label
_atom_site_fract_x
_atom_site_fract_y
_atom_site_fract_z
Ba1 0.0000 0.0000 0.0000
In1 0.0000 0.0000 0.2331
Tc1 0.0000 0.0000 0.5000
```

***

(3)
This record from Alexandria via LeMat-Bulk describes crystalline Al2TeSe at its relaxed geometry. The functional is PBE.

Values from the calculation:
Total DFT energy (no corrections) in eV per atom: -3.22
Energy relative to the lowest polymorph listed for this composition in meV/atom: 655.6
Crystal system: cubic
Volume in Å³/atom: 21.88

CIF file:
```
data_Al2TeSe
_space_group_name_H-M_alt 'F -4 3 m'
_space_group_IT_number 216
_space_group_name_Hall 'F -4 2 3'
_cell_length_a 7.0483
_cell_length_b 7.0483
_cell_length_c 7.0483
_cell_angle_alpha 90.00
_cell_angle_beta 90.00
_cell_angle_gamma 90.00
loop_
_atom_site_label
_atom_site_fract_x
_atom_site_fract_y
_atom_site_fract_z
Al1 0.0000 0.0000 0.0000
Al2 0.2500 0.2500 0.2500
Te1 0.0000 0.0000 0.5000
Se1 0.2500 0.2500 0.7500
```

***

(4)
This record from Alexandria via LeMat-Bulk describes crystalline PtOF3 at its relaxed geometry. The functional is PBE.

Values from the calculation:
Total DFT energy (no corrections) in eV per atom: -2.64
Energy relative to the lowest polymorph listed for this composition in meV/atom: 1428.0
Crystal system: cubic
Volume in Å³/atom: 11.72

CIF file:
```
data_PtOF3
_space_group_name_H-M_alt 'P m -3 m'
_space_group_IT_number 221
_space_group_name_Hall '-P 4 2 3'
_cell_length_a 3.8843
_cell_length_b 3.8843
_cell_length_c 3.8843
_cell_angle_alpha 90.00
_cell_angle_beta 90.00
_cell_angle_gamma 90.00
loop_
_atom_site_label
_atom_site_fract_x
_atom_site_fract_y
_atom_site_fract_z
Pt1 0.0000 0.0000 0.0000
O1 0.5000 0.5000 0.5000
F1 0.0000 0.5000 0.5000
```

***

(5)
This record from Alexandria via LeMat-Bulk describes crystalline TbSmAl2Pd5 at its relaxed geometry. The functional is PBE.

Values from the calculation:
Total DFT energy (no corrections) in eV per atom: -5.58
Formation energy in kJ per mole of atoms: -79.10
Crystal system: tetragonal
Volume in Å³/atom: 18.63

CIF file:
```
data_TbSmAl2Pd5
_space_group_name_H-M_alt 'P 4/m m m'
_space_group_IT_number 123
_space_group_name_Hall '-P 4 2'
_cell_length_a 4.2582
_cell_length_b 4.2582
_cell_length_c 9.2470
_cell_angle_alpha 90.00
_cell_angle_beta 90.00
_cell_angle_gamma 90.00
loop_
_atom_site_label
_atom_site_fract_x
_atom_site_fract_y
_atom_site_fract_z
Tb1 0.0000 0.0000 0.0000
Sm1 0.0000 0.0000 0.5000
Al1 0.5000 0.5000 0.1406
Pd1 0.0000 0.5000 0.2740
Pd2 0.5000 0.5000 0.5000
```

***

(6)
This record from Alexandria via LeMat-Bulk describes crystalline Ta3CoGe at its relaxed geometry. The functional is PBE.

Values from the calculation:
Total DFT energy (no corrections) in eV per atom: -8.78
Energy relative to the lowest polymorph listed for this composition in meV/atom: 0.0
Formation energy in kJ per mole of atoms: 65.72
Crystal system: cubic
Volume in Å³/atom: 19.08

CIF file:
```
data_Ta3CoGe
_space_group_name_H-M_alt 'P m -3 m'
_space_group_IT_number 221
_space_group_name_Hall '-P 4 2 3'
_cell_length_a 4.5690
_cell_length_b 4.5690
_cell_length_c 4.5690
_cell_angle_alpha 90.00
_cell_angle_beta 90.00
_cell_angle_gamma 90.00
loop_
_atom_site_label
_atom_site_fract_x
_atom_site_fract_y
_atom_site_fract_z
Ta1 0.0000 0.0000 0.5000
Co1 0.0000 0.0000 0.0000
Ge1 0.5000 0.5000 0.5000
```

***

Which of these has the lowest volume?
PtOF3

***

Among the records above, which one has the lowest total DFT energy (no corrections)?
Ta3CoGe

***

volume of number 4 (PtOF3)?
11.72 Å³/atom

***

volume of number 6 (Ta3CoGe)?
19.08 Å³/atom